w:
! Lu2TlSb (PBE, relaxed); values from VASP
&SYSTEM
  ibrav = 0, nat = 4, ntyp = 3
/
ATOMIC_SPECIES
Sb 121.76 Sb.upf
Tl 204.38 Tl.upf
Lu 174.97 Lu.upf
CELL_PARAMETERS angstrom
4.852 0.000 0.000
2.426 4.202 0.000
2.426 1.401 5.303
ATOMIC_POSITIONS angstrom
Sb 4.852 2.801 2.652
Tl 0.000 0.000 0.000
Lu 7.278 4.202 4.026
Lu 2.426 1.401 1.278
! - DOS(E_F): 0.58 states/eV per atom
! - Total moment: 0.000 μB/f.u.

x:
! Lu2TlSb (PBE, relaxed); values from VASP
&SYSTEM
  ibrav = 0, nat = 4, ntyp = 3
/
ATOMIC_SPECIES
Sb 121.76 Sb.upf
Tl 204.38 Tl.upf
Lu 174.97 Lu.upf
CELL_PARAMETERS angstrom
-3.756 -0.994 0.332
0.115 -1.621 -3.545
1.839 -6.012 2.810
ATOMIC_POSITIONS angstrom
Sb -1.820 -1.307 -1.606
Tl -0.901 -4.314 -0.201
Lu 1.399 -4.573 2.137
Lu 0.440 -1.439 0.672
! - DOS(E_F): 0.83 states/eV per atom
! - Total moment: 0.015 μB/f.u.

Order from most stable to least stable according to the calculation: x, w